[1]
Compound: CeBrCl2
Source: Alexandria via LeMat-Bulk
Functional: PBE
Structure: optimized geometry

POSCAR file:
```
CeBrCl2
1.0
-2.129 -2.846 2.019
5.232 -3.330 -3.313
5.182 1.126 7.051
Ce Cl Br
2 4 2
Direct
0.258 0.516 0.250
0.742 0.484 0.750
0.339 0.678 0.931
0.661 0.322 0.431
0.661 0.322 0.069
0.339 0.678 0.569
0.086 0.172 0.750
0.914 0.828 0.250
```

Symmetry: Cmcm, No. 63
M_tot, μB per formula unit: 1.00
Energy, eV/atom: -4.903
Raw formation energy, eV/atom: -2.078

***

[2]
Compound: SiAu5
Source: Alexandria via LeMat-Bulk
Functional: PBE
Structure: optimized geometry

POSCAR file:
```
SiAu5
1.0
0.411 2.026 5.688
-3.582 -3.608 -3.283
2.506 -3.437 1.043
Si Au
1 5
Direct
0.500 0.500 0.000
0.159 0.841 0.000
0.000 0.000 0.500
0.336 0.664 0.500
0.664 0.336 0.500
0.841 0.159 0.000
```

Symmetry: Cmmm, No. 65
M_tot, μB per formula unit: 0.00
Energy, eV/atom: -3.523
Raw formation energy, eV/atom: 0.112

***

[3]
Compound: OsRuPt2
Source: Alexandria via LeMat-Bulk
Functional: PBE
Structure: optimized geometry

POSCAR file:
```
OsRuPt2
1.0
-2.953 -3.750 0.363
2.444 -3.880 1.372
-0.222 4.445 1.763
Ru Os Pt
1 1 2
Direct
0.500 0.500 0.000
0.750 0.250 0.500
0.000 0.000 0.000
0.250 0.750 0.500
```

DFT formation energy, eV/atom: 0.071
Symmetry: I-4m2, No. 119
M_tot, μB per formula unit: 0.00
Energy, eV/atom: -8.075

***

[4]
Compound: ScMo3Os
Source: Alexandria via LeMat-Bulk
Functional: PBE
Structure: optimized geometry

POSCAR file:
```
ScMo3Os
1.0
4.759 0.000 0.000
0.000 4.759 0.000
0.000 0.000 4.759
Mo Sc Os
3 1 1
Direct
0.000 0.000 0.500
0.500 0.000 0.000
0.000 0.500 0.000
0.500 0.500 0.500
0.000 0.000 0.000
```

DFT formation energy, eV/atom: 1.211
Symmetry: Pm-3m, No. 221
M_tot, μB per formula unit: 0.00
Energy, eV/atom: -8.799

***

[5]
Compound: Pm3Pr2Sm6Sc
Source: Alexandria via LeMat-Bulk
Functional: PBE
Structure: optimized geometry

POSCAR file:
```
Pm3Pr2Sm6Sc
1.0
6.264 0.000 0.001
-3.130 5.426 0.001
-1.049 -1.817 11.842
Sm Pr Pm Sc
6 2 3 1
Direct
0.082 0.411 0.248
0.247 0.247 0.751
0.753 0.753 0.249
0.589 0.918 0.752
0.411 0.082 0.248
0.918 0.589 0.752
0.666 0.334 0.000
0.334 0.666 0.000
0.500 0.500 0.500
0.166 0.834 0.500
0.834 0.166 0.500
0.000 0.000 0.000
```

DFT formation energy, eV/atom: 0.026
Symmetry: C2/m, No. 12
M_tot, μB per formula unit: 0.00
Energy, eV/atom: -4.846

***

[6]
Compound: Li2MgAu
Source: Alexandria via LeMat-Bulk
Functional: PBE
Structure: optimized geometry

POSCAR file:
```
Li2MgAu
1.0
3.489 0.000 0.000
0.000 3.242 0.081
0.000 3.078 6.346
Li Au Mg
2 1 1
Direct
0.000 0.018 0.981
0.500 0.271 0.228
0.500 0.733 0.767
0.000 0.477 0.524
```

DFT formation energy, eV/atom: -0.355
Symmetry: Pm, No. 6
M_tot, μB per formula unit: 0.00
Energy, eV/atom: -2.530

***

[7]
Compound: PmEu2Pt
Source: Alexandria via LeMat-Bulk
Functional: PBE
Structure: optimized geometry

POSCAR file:
```
PmEu2Pt
1.0
3.643 0.000 0.000
0.000 3.643 0.000
0.000 0.000 9.198
Eu Pm Pt
2 1 1
Direct
0.000 0.000 0.815
0.000 0.000 0.185
0.500 0.500 0.500
0.500 0.500 0.000
```

DFT formation energy, eV/atom: -0.430
Symmetry: P4/mmm, No. 123
M_tot, μB per formula unit: 14.25
Energy, eV/atom: -8.265

***

[8]
Compound: Cs3Tl2Pb9
Source: Alexandria via LeMat-Bulk
Functional: PBE
Structure: optimized geometry

POSCAR file:
```
Cs3Tl2Pb9
1.0
-2.698 6.222 7.859
2.698 -6.222 7.859
2.698 6.222 -7.859
Pb Cs Tl
9 3 2
Direct
0.500 0.000 0.500
0.709 0.350 0.359
0.291 0.650 0.641
0.564 0.850 0.714
0.136 0.850 0.286
0.436 0.150 0.286
0.991 0.350 0.641
0.009 0.650 0.359
0.864 0.150 0.714
0.295 0.295 0.000
0.000 0.000 0.000
0.705 0.705 0.000
0.323 0.500 0.823
0.677 0.500 0.177
```

DFT formation energy, eV/atom: -0.089
Symmetry: Immm, No. 71
M_tot, μB per formula unit: 0.00
Energy, eV/atom: -2.993

***

[9]
Compound: Ac2ScBi3Rh4
Source: Alexandria via LeMat-Bulk
Functional: PBE
Structure: optimized geometry

POSCAR file:
```
Ac2ScBi3Rh4
1.0
4.570 0.000 0.000
0.000 4.570 0.000
0.000 0.000 11.531
Ac Rh Bi Sc
2 4 3 1
Direct
0.000 0.500 0.756
0.500 0.000 0.244
0.500 0.000 0.635
0.000 0.000 0.000
0.500 0.500 0.000
0.000 0.500 0.365
0.000 0.500 0.130
0.500 0.000 0.870
0.000 0.000 0.500
0.500 0.500 0.500
```

DFT formation energy, eV/atom: -0.620
Symmetry: P-4m2, No. 115
M_tot, μB per formula unit: 0.01
Energy, eV/atom: -6.180

***

[10]
Compound: Zr3GeTe3
Source: Alexandria via LeMat-Bulk
Functional: PBE
Structure: optimized geometry

POSCAR file:
```
Zr3GeTe3
1.0
9.255 0.000 -3.272
-4.628 8.015 -3.272
0.000 0.000 9.817
Te Zr Ge
12 12 4
Direct
0.008 0.250 0.992
0.750 0.992 0.508
0.258 0.517 0.508
0.492 0.508 0.250
0.492 0.983 0.742
0.017 0.508 0.758
0.242 0.992 0.983
0.008 0.758 0.517
0.242 0.250 0.758
0.258 0.742 0.250
0.483 0.742 0.992
0.750 0.758 0.742
0.511 0.489 0.750
0.989 0.750 0.011
0.250 0.011 0.489
0.989 0.239 0.477
0.977 0.489 0.239
0.761 0.750 0.239
0.739 0.477 0.489
0.761 0.011 0.023
0.523 0.261 0.011
0.739 0.261 0.750
0.511 0.023 0.261
0.250 0.239 0.261
0.000 0.000 0.250
0.750 0.250 0.250
0.750 0.500 0.000
0.500 0.250 0.500
```

Symmetry: I4_132, No. 214
M_tot, μB per formula unit: 0.00
Energy, eV/atom: -6.553
Raw formation energy, eV/atom: -0.884

***

[11]
Compound: TiCuCl3
Source: Alexandria via LeMat-Bulk
Functional: PBE
Structure: optimized geometry

POSCAR file:
```
TiCuCl3
1.0
4.758 0.000 0.000
0.000 4.758 0.000
0.000 0.000 4.758
Cu Cl Ti
1 3 1
Direct
0.000 0.000 0.000
0.000 0.500 0.000
0.000 0.000 0.500
0.500 0.000 0.000
0.500 0.500 0.500
```

Symmetry: Pm-3m, No. 221
M_tot, μB per formula unit: 2.37
Energy, eV/atom: -3.742
Raw formation energy, eV/atom: -0.236

***

[12]
Compound: RbS3
Source: Alexandria via LeMat-Bulk
Functional: PBE
Structure: optimized geometry

POSCAR file:
```
RbS3
1.0
-3.029 -5.675 2.345
-0.827 -0.927 -3.313
4.841 -2.763 -0.435
S Rb
3 1
Direct
0.000 0.000 0.983
0.500 0.500 0.703
0.500 0.000 0.498
0.000 0.500 0.482
```

Symmetry: Pmm2, No. 25
M_tot, μB per formula unit: 0.43
Energy, eV/atom: -3.287
Raw formation energy, eV/atom: 0.050

***

[13]
Compound: TbPr2Pd4
Source: Alexandria via LeMat-Bulk
Functional: PBE
Structure: optimized geometry

POSCAR file:
```
TbPr2Pd4
1.0
-4.440 -2.432 -0.131
0.898 -1.887 4.613
-1.603 8.151 0.867
Pr Pd Tb
2 4 1
Direct
0.637 0.637 0.273
0.363 0.363 0.727
0.500 0.000 0.000
0.179 0.179 0.358
0.821 0.821 0.642
0.000 0.500 0.000
0.000 0.000 0.000
```

DFT formation energy, eV/atom: -0.238
Symmetry: I4/mmm, No. 139
M_tot, μB per formula unit: 0.00
Energy, eV/atom: -5.232

***

[14]
Compound: Ta6NbRe2
Source: Alexandria via LeMat-Bulk
Functional: PBE
Structure: optimized geometry

POSCAR file:
```
Ta6NbRe2
1.0
-3.179 -0.082 0.479
-2.295 -1.494 -4.700
-1.254 -9.593 0.820
Re Ta Nb
2 6 1
Direct
0.334 0.112 0.221
0.666 0.888 0.779
0.994 0.682 0.331
0.330 0.777 0.563
0.329 0.456 0.886
0.006 0.318 0.669
0.670 0.223 0.437
0.671 0.544 0.114
0.000 0.000 0.000
```

DFT formation energy, eV/atom: -0.210
Symmetry: C2/m, No. 12
M_tot, μB per formula unit: 0.00
Energy, eV/atom: -11.997

***

[15]
Compound: Tb6BeS5
Source: Alexandria via LeMat-Bulk
Functional: PBE
Structure: optimized geometry

POSCAR file:
```
Tb6BeS5
1.0
-3.099 3.238 5.142
2.086 -2.654 5.966
5.471 2.598 3.180
Tb S Be
6 5 1
Direct
0.245 0.919 0.674
0.245 0.593 0.326
0.245 0.243 0.000
0.755 0.757 0.000
0.755 0.081 0.326
0.755 0.407 0.674
0.500 0.500 0.000
0.500 0.170 0.659
0.000 0.666 0.669
0.000 0.334 0.331
0.500 0.830 0.341
0.000 0.000 0.000
```

Symmetry: C2/m, No. 12
M_tot, μB per formula unit: 0.00
Energy, eV/atom: -6.031
Raw formation energy, eV/atom: -1.685

***

[16]
Compound: Dy7Y2Er4
Source: Alexandria via LeMat-Bulk
Functional: PBE
Structure: optimized geometry

POSCAR file:
```
Dy7Y2Er4
1.0
0.152 3.542 -7.921
5.641 -3.133 -6.113
-4.206 -4.894 -0.061
Dy Er Y
7 4 2
Direct
0.583 0.710 0.428
0.933 0.454 0.210
0.668 0.897 0.886
0.000 0.000 0.000
0.332 0.103 0.114
0.417 0.290 0.572
0.067 0.546 0.790
0.192 0.056 0.556
0.808 0.944 0.444
0.794 0.332 0.669
0.206 0.668 0.331
0.430 0.680 0.870
0.570 0.320 0.130
```

DFT formation energy, eV/atom: 0.096
Symmetry: P-1, No. 2
M_tot, μB per formula unit: 0.00
Energy, eV/atom: -4.780

***

[17]
Compound: Ca2PmEu
Source: Alexandria via LeMat-Bulk
Functional: PBE
Structure: optimized geometry

POSCAR file:
```
Ca2PmEu
1.0
6.057 0.000 0.000
3.029 5.246 0.000
3.029 1.749 4.946
Ca Eu Pm
2 1 1
Direct
0.750 0.750 0.750
0.250 0.250 0.250
0.500 0.500 0.500
0.000 0.000 0.000
```

DFT formation energy, eV/atom: 0.100
Symmetry: Fm-3m, No. 225
M_tot, μB per formula unit: 7.37
Energy, eV/atom: -4.657

***

[18]
Compound: La2Zn3GaAg4
Source: Alexandria via LeMat-Bulk
Functional: PBE
Structure: optimized geometry

POSCAR file:
```
La2Zn3GaAg4
1.0
-2.918 -3.337 -0.060
1.474 -1.360 3.954
-7.424 6.400 4.968
La Zn Ag Ga
2 3 4 1
Direct
0.500 0.000 0.262
0.000 0.500 0.738
0.000 0.000 0.500
0.500 0.000 0.866
0.000 0.500 0.134
0.000 0.000 0.000
0.000 0.500 0.368
0.500 0.000 0.632
0.500 0.500 0.000
0.500 0.500 0.500
```

DFT formation energy, eV/atom: -0.269
Symmetry: P-4m2, No. 115
M_tot, μB per formula unit: 0.00
Energy, eV/atom: -3.080

***

[19]
Compound: CsS4Cl
Source: Alexandria via LeMat-Bulk
Functional: PBE
Structure: optimized geometry

POSCAR file:
```
CsS4Cl
1.0
4.116 -1.256 -1.510
-2.028 7.000 9.355
-1.304 4.123 13.430
S Cs Cl
4 1 1
Direct
0.837 0.363 0.654
0.332 0.078 0.765
0.670 0.927 0.239
0.166 0.641 0.350
0.001 0.003 0.502
0.501 0.503 0.002
```

Symmetry: P-1, No. 2
M_tot, μB per formula unit: 0.00
Energy, eV/atom: -3.742
Raw formation energy, eV/atom: -0.541